Density functional theory data (PBE-GGA) for crystalline AcTbTeP at its relaxed geometry.

Calculated values
**Volume**: 121 Å³/f.u.
**E_form (uncorrected)**: -1478 meV per atom
**Final energy**: -23.2 eV/cell

Structure (extended XYZ):
```
4
Lattice="4.2613 -0.0005 -0.0004 -2.1301 3.6912 0.0003 -2.1299 -1.2300 7.6967" Properties=species:S:1:pos:R:3 pbc="T T T"
P -1.7272 0.9604 6.5311
Ac -1.7276 3.4211 0.6034
Te 2.5331 0.9609 2.9746
Tb 0.4029 -0.2699 5.0506
```